(1)
# CuB2F

An optimized crystal structure of CuB2F (PBE, Alexandria via LeMat-Bulk).

Lattice parameters (Å, degrees): 3.826 3.826 3.826 60.00 60.00 60.00
Atoms (fractional coordinates):
B 0.250 0.250 0.250
B 0.750 0.750 0.750
Cu 0.500 0.500 0.500
F 0.000 0.000 0.000

Properties
* space group: Fm-3m, No. 225
* uncorrected formation energy: 1.2420 eV/atom
* M_tot: 0.000 μB/atom



(2)
# SmB4Rh6

An optimized crystal structure of SmB4Rh6 (PBE, Alexandria via LeMat-Bulk).

Lattice parameters (Å, degrees): 3.457 6.727 6.727 120.00 90.00 90.00
Atoms (fractional coordinates):
Sm 0.000 0.000 0.000
B 0.500 0.796 0.591
B 0.500 0.409 0.204
B 0.500 0.796 0.204
B 0.000 0.333 0.667
Rh 0.000 0.537 0.073
Rh 0.500 0.603 0.802
Rh 0.000 0.537 0.463
Rh 0.000 0.927 0.463
Rh 0.500 0.198 0.802
Rh 0.500 0.198 0.397

Properties
* space group: P-6m2, No. 187
* formation enthalpy at 0 K: -0.341 eV/atom
* M_tot: 0.000 μB/atom



Please write out number 1 again, unchanged.
# CuB2F

An optimized crystal structure of CuB2F (PBE, Alexandria via LeMat-Bulk).

Lattice parameters (Å, degrees): 3.826 3.826 3.826 60.00 60.00 60.00
Atoms (fractional coordinates):
B 0.250 0.250 0.250
B 0.750 0.750 0.750
Cu 0.500 0.500 0.500
F 0.000 0.000 0.000

Properties
* space group: Fm-3m, No. 225
* uncorrected formation energy: 1.2420 eV/atom
* M_tot: 0.000 μB/atom



> What is the formula in the first record?

CuB2F



> What is the formula in the first record?

CuB2F